[1]
This record from the Alexandria database describes Y3AsPd at its PBEsol-relaxed geometry. The functional is meta-GGA SCAN.

Summary:
Fermi-level density of states	0.965	states/eV/atom
symmetry	Pm-3m, No. 221
energy	-138.5	eV for the cell shown
total moment	0.00	μB per cell
calculated density	5.1	g/cm³

The structure in POSCAR format:
```
Y3AsPd
1.0
5.2591 0.0000 0.0000
0.0000 5.2591 0.0000
0.0000 0.0000 5.2591
Y As Pd
3 1 1
Cartesian
0.0000 2.6295 0.0000
0.0000 0.0000 2.6295
2.6295 0.0000 0.0000
2.6295 2.6295 2.6295
0.0000 0.0000 0.0000
```

***

[2]
This record from the Alexandria database describes Ga3CuSn at its PBEsol-relaxed geometry. The functional is meta-GGA SCAN.

Summary:
Fermi-level density of states	0.483	states/eV/atom
symmetry	Pm-3m, No. 221
energy	-98.9	eV for the cell shown
total moment	0.00	μB per cell
calculated density	6.4	g/cm³

The structure in POSCAR format:
```
Ga3CuSn
1.0
-3.5254 -2.9058 0.9594
0.6623 -2.1534 -4.0886
2.9875 -2.9515 2.0385
Cu Sn Ga
1 1 3
Cartesian
0.0000 0.0000 0.0000
0.0623 -4.0054 -0.5454
0.3312 -1.0767 -2.0443
1.4938 -1.4758 1.0193
-1.7627 -1.4529 0.4797
```

***

[3]
This record from the Alexandria database describes MnTl2As at its PBEsol-relaxed geometry. The functional is meta-GGA SCAN.

Summary:
Fermi-level density of states	0.603	states/eV/atom
symmetry	P4/mmm, No. 123
ΔE to the lowest computed polymorph	0.865	eV per formula unit
energy	-182.0	eV for the cell shown
total moment	4.43	μB per cell
calculated density	10.4	g/cm³

The structure in POSCAR format:
```
MnTl2As
1.0
-0.5590 -0.2686 -3.7165
3.6808 -0.6250 -0.5085
-0.9348 -5.9709 0.5722
As Mn Tl
1 1 2
Cartesian
1.5609 -0.4468 -2.1125
1.0935 -3.4322 -1.8264
-0.6999 -4.4709 0.4284
-0.2348 -1.5000 0.1437
```

***

[4]
This record from the Alexandria database describes Fe3PbN at its PBEsol-relaxed geometry. The functional is meta-GGA SCAN.

Summary:
energy relative to the elements, uncorrected	2.308	eV/atom
Fermi-level density of states	1.206	states/eV/atom
symmetry	Pm-3m, No. 221
energy	-127.9	eV for the cell shown
total moment	12.99	μB per cell
calculated density	5.2	g/cm³

The structure in POSCAR format:
```
Fe3PbN
1.0
4.9743 0.0000 0.0000
0.0000 4.9743 0.0000
0.0000 0.0000 4.9743
Pb Fe N
1 3 1
Cartesian
0.0000 0.0000 0.0000
0.0000 2.4872 0.0000
0.0000 0.0000 2.4872
2.4872 0.0000 0.0000
2.4872 2.4872 2.4872
```

***

[5]
This record from the Alexandria database describes K3CrO4 at its PBEsol-relaxed geometry. The functional is meta-GGA SCAN.

Summary:
energy relative to the elements, uncorrected	-2.015	eV/atom
Fermi-level density of states	0.173	states/eV/atom
symmetry	I-42m, No. 121
energy	-84.4	eV for the cell shown
total moment	1.00	μB per cell
calculated density	2.7	g/cm³

The structure in POSCAR format:
```
K3CrO4
1.0
-0.2850 1.0482 5.6357
-4.8603 -2.3563 -1.9405
4.1481 -3.7739 -1.2214
Cr K O
1 3 4
Cartesian
0.0000 0.0000 0.0000
-2.7507 -2.1866 1.0571
1.7535 -2.8954 1.4167
-0.3561 -3.0651 -1.5809
-0.7008 -3.6073 1.6676
-3.5745 -3.4287 -2.2707
2.6637 -4.4104 -1.7727
-0.0979 0.2342 1.6876
```

***

[6]
This record from the Alexandria database describes Mg2RuBr at its PBEsol-relaxed geometry. The functional is meta-GGA SCAN.

Summary:
energy relative to the elements, uncorrected	0.075	eV/atom
Fermi-level density of states	0.478	states/eV/atom
symmetry	P4/mmm, No. 123
energy	-63.9	eV for the cell shown
total moment	0.00	μB per cell
calculated density	5.5	g/cm³

The structure in POSCAR format:
```
Mg2RuBr
1.0
-0.7123 -0.3853 3.2317
-2.7180 -3.5393 -1.0211
3.5513 -2.8547 0.4424
Br Mg Ru
1 2 1
Cartesian
-0.3562 -0.1927 1.6158
1.7756 -1.4274 0.2212
-1.3590 -1.7697 -0.5106
0.0605 -3.3897 1.3265
```

***

[7]
This record from the Alexandria database describes Ca2ScTa at its PBEsol-relaxed geometry. The functional is meta-GGA SCAN.

Summary:
Fermi-level density of states	1.051	states/eV/atom
symmetry	P4/mmm, No. 123
ΔE to the lowest computed polymorph	1.162	eV per formula unit
energy	-97.1	eV for the cell shown
total moment	1.72	μB per cell
calculated density	5.0	g/cm³

The structure in POSCAR format:
```
Ca2ScTa
1.0
-4.3147 1.1974 -0.1596
-0.8569 -3.4511 -2.7261
-0.9598 -2.9248 4.0043
Sc Ca Ta
1 2 1
Cartesian
-3.0657 -2.5893 0.5593
-0.4284 -1.7256 -1.3631
-2.1574 0.5987 -0.0798
-0.4799 -1.4624 2.0021
```

***

[8]
This record from the Alexandria database describes InTcIr2 at its PBEsol-relaxed geometry. The functional is meta-GGA SCAN.

Summary:
Fermi-level density of states	0.774	states/eV/atom
symmetry	I-4m2, No. 119
energy	-210.2	eV for the cell shown
total moment	0.00	μB per cell
calculated density	16.3	g/cm³

The structure in POSCAR format:
```
InTcIr2
1.0
3.9134 0.0000 0.0000
0.0000 3.9134 0.0000
-1.9567 -1.9567 3.9618
In Ir Tc
1 2 1
Cartesian
0.0000 1.9567 1.9809
0.0000 0.0000 0.0000
1.9567 0.0000 1.9809
1.9567 1.9567 0.0000
```